Here is Ni2AgAu2O6 after structural relaxation from Alexandria via LeMat-Bulk. Energies are from PBE with a Hubbard U.

```
data_Ni2AgAu2O6
_chemical_formula_sum 'Ni2 Ag1 Au2 O6'
_space_group_name_H-M_alt 'P -1'
_space_group_IT_number 2
_cell_length_a 4.743
_cell_length_b 5.843
_cell_length_c 6.302
_cell_angle_alpha 75.90
_cell_angle_beta 88.30
_cell_angle_gamma 76.47
loop_
_space_group_symop_operation_xyz
'x,y,z'
'-x,-y,-z'
loop_
_atom_site_label
_atom_site_type_symbol
_atom_site_fract_x
_atom_site_fract_y
_atom_site_fract_z
Ni1 Ni 0.150 0.134 0.345
Ag1 Ag 0.500 0.500 0.500
Au1 Au 0.142 0.205 0.835
O1 O 0.101 0.810 0.423
O2 O 0.278 0.411 0.197
O3 O 0.390 0.201 0.099
```

Results
energy	-4.06	eV/atom